1.
VASP calculation (PBE) on NaPu2ThTe4 after structural relaxation.

## Properties
Its space group is No. 10. The calculation puts the formation energy without anion corrections at -1.079 eV/atom. The volume comes out at 31.5 A^3/atom. As for the crystal system: monoclinic. The spin magnetization comes out at 1.48 μB per atom. Its energy is -0.538 Ry per atom.

a b c (Å): 4.4249 7.7855 7.7367
angles (deg): 108.85 90.00 90.00
Last column: nearest neighbours and their distance in Å.
Positions (direct):
Na: 0.5000 0.5000 0.0000  6 Te 3.15-3.17
Pu: 0.5000 0.0000 0.5000  6 Te 3.15-3.16
Pu: 0.0000 0.5000 0.5000  6 Te 3.14-3.16
Te: 0.0000 0.7517 0.2515  3 Pu 3.15-3.16, 1 Th 3.16, 2 Na 3.17
Te: 0.5000 0.7467 0.7469  3 Pu 3.14-3.16, 1 Na 3.15, 2 Th 3.18
Te: 0.0000 0.2483 0.7485  3 Pu 3.15-3.16, 1 Th 3.16, 2 Na 3.17
Th: 0.0000 0.0000 0.0000  6 Te 3.16-3.18
Te: 0.5000 0.2533 0.2531  3 Pu 3.14-3.16, 1 Na 3.15, 2 Th 3.18



2.
VASP calculation (PBE) on Na3PuTh2Te6 after structural relaxation.

## Properties
Its space group is No. 12. The calculation puts the formation energy without anion corrections at -1.101 eV/atom. The volume comes out at 33.2 A^3/atom. As for the crystal system: monoclinic. The spin magnetization comes out at 0.56 μB per atom. Its energy is -0.399 Ry per atom.

a b c (Å): 7.7464 7.7464 8.0860
angles (deg): 99.18 99.18 120.00
Last column: nearest neighbours and their distance in Å.
Positions (direct):
Te: 0.5838 0.9196 0.7584  2 Th 3.17, 1 Pu 3.19, 3 Na 3.24-3.26
Te: 0.4162 0.0804 0.2416  2 Th 3.17, 1 Pu 3.19, 3 Na 3.24-3.26
Te: 0.9196 0.5838 0.7584  2 Th 3.17, 1 Pu 3.19, 3 Na 3.24-3.26
Te: 0.7451 0.7451 0.2420  2 Th 3.17, 1 Pu 3.19, 3 Na 3.24-3.26
Te: 0.0804 0.4162 0.2416  2 Th 3.17, 1 Pu 3.19, 3 Na 3.24-3.26
Th: 0.3334 0.6666 0.0000  6 Te 3.17
Na: 0.8337 0.1663 0.5000  6 Te 3.24-3.26
Na: 0.5000 0.5000 0.5000  6 Te 3.24-3.26
Te: 0.2549 0.2549 0.7580  2 Th 3.17, 1 Pu 3.19, 3 Na 3.24-3.26
Th: 0.6666 0.3334 0.0000  6 Te 3.17
Na: 0.1663 0.8337 0.5000  6 Te 3.24-3.26
Pu: 0.0000 0.0000 0.0000  6 Te 3.19



3.
VASP calculation (PBE) on Na3Pu2ThTe6 after structural relaxation.

## Properties
Its space group is No. 12. The calculation puts the formation energy without anion corrections at -1.094 eV/atom. The volume comes out at 33.4 A^3/atom. As for the crystal system: monoclinic. The spin magnetization comes out at 0.92 μB per atom. Its energy is -0.441 Ry per atom.

a b c (Å): 7.8456 7.8456 7.9580
angles (deg): 99.46 99.46 120.00
Last column: nearest neighbours and their distance in Å.
Positions (direct):
Na: 0.8331 0.1669 0.5000  6 Te 3.27-3.29
Te: 0.5896 0.9208 0.7623  1 Th 3.15, 2 Pu 3.17, 3 Na 3.27-3.29
Pu: 0.3333 0.6667 0.0000  6 Te 3.17
Te: 0.9208 0.5896 0.7623  1 Th 3.15, 2 Pu 3.17, 3 Na 3.27-3.29
Te: 0.0792 0.4104 0.2377  1 Th 3.15, 2 Pu 3.17, 3 Na 3.27-3.29
Na: 0.5000 0.5000 0.5000  6 Te 3.27-3.29
Th: 0.0000 0.0000 0.0000  6 Te 3.15
Te: 0.2523 0.2523 0.7628  1 Th 3.15, 2 Pu 3.17, 3 Na 3.27-3.29
Te: 0.4104 0.0792 0.2377  1 Th 3.15, 2 Pu 3.17, 3 Na 3.27-3.29
Pu: 0.6667 0.3333 0.0000  6 Te 3.17
Na: 0.1669 0.8331 0.5000  6 Te 3.27-3.29
Te: 0.7477 0.7477 0.2372  1 Th 3.15, 2 Pu 3.17, 3 Na 3.27-3.29



4.
VASP calculation (PBE) on Na4PuTh3Te8 after structural relaxation.

## Properties
Its space group is No. 166. The calculation puts the formation energy without anion corrections at -1.097 eV/atom. The volume comes out at 33.0 A^3/atom. As for the crystal system: trigonal. The spin magnetization comes out at 0.40 μB per atom. Its energy is -0.388 Ry per atom.

a b c (Å): 8.8920 9.2707 8.8915
angles (deg): 118.68 120.00 90.00
Last column: nearest neighbours and their distance in Å.
Positions (direct):
Na: 0.0000 0.0000 0.0000  6 Te 3.23-3.25
Te: 0.2538 0.2580 0.0058  2 Th 3.17, 1 Pu 3.18, 3 Na 3.24-3.25
Na: 0.5000 0.0000 0.5000  6 Te 3.23-3.25
Na: 0.5000 0.0000 0.0000  6 Te 3.24
Th: 0.5000 0.5000 0.5000  6 Te 3.17-3.19
Te: 0.7520 0.2580 0.5039  2 Th 3.17, 1 Pu 3.18, 3 Na 3.24-3.25
Th: 0.0000 0.5000 0.5000  6 Te 3.17-3.19
Te: 0.2516 0.2550 0.5032  3 Th 3.19, 3 Na 3.23
Te: 0.7462 0.7420 0.9942  2 Th 3.17, 1 Pu 3.18, 3 Na 3.24-3.25
Te: 0.7484 0.7450 0.4968  3 Th 3.19, 3 Na 3.23
Te: 0.7520 0.2580 0.0058  2 Th 3.17, 1 Pu 3.18, 3 Na 3.24-3.25
Pu: 0.0000 0.5000 0.0000  6 Te 3.18
Th: 0.5000 0.5000 0.0000  6 Te 3.17-3.19
Na: 0.0000 0.0000 0.5000  6 Te 3.23-3.25
Te: 0.2480 0.7420 0.9942  2 Th 3.17, 1 Pu 3.18, 3 Na 3.24-3.25
Te: 0.2480 0.7420 0.4961  2 Th 3.17, 1 Pu 3.18, 3 Na 3.24-3.25



5.
VASP calculation (PBE) on Na3PuTi2Te6 after structural relaxation.

## Properties
Its space group is No. 12. The calculation puts the formation energy without anion corrections at -0.859 eV/atom. The volume comes out at 28.8 A^3/atom. As for the crystal system: monoclinic. The spin magnetization comes out at 0.58 μB per atom. Its energy is -0.387 Ry per atom.

a b c (Å): 7.2579 7.2579 7.9905
angles (deg): 98.80 98.80 120.29
Last column: nearest neighbours and their distance in Å.
Positions (direct):
Na: 0.1558 0.8442 0.5000  6 Te 3.17-3.30
Te: 0.2869 0.2869 0.7846  2 Ti 2.89, 1 Pu 3.07, 3 Na 3.11-3.23
Ti: 0.3288 0.6712 0.0000  6 Te 2.84-2.89
Pu: 0.0000 0.0000 0.0000  6 Te 3.07-3.09
Te: 0.9250 0.5678 0.7784  2 Ti 2.84-2.87, 1 Pu 3.09, 1 Na 3.17
Te: 0.0750 0.4322 0.2216  2 Ti 2.84-2.87, 1 Pu 3.09, 1 Na 3.17
Te: 0.4322 0.0750 0.2216  2 Ti 2.84-2.87, 1 Pu 3.09, 1 Na 3.17
Na: 0.5000 0.5000 0.5000  6 Te 3.11-3.28
Te: 0.7131 0.7131 0.2154  2 Ti 2.89, 1 Pu 3.07, 3 Na 3.11-3.23
Ti: 0.6712 0.3288 0.0000  6 Te 2.84-2.89
Te: 0.5678 0.9250 0.7784  2 Ti 2.84-2.87, 1 Pu 3.09, 1 Na 3.17
Na: 0.8442 0.1558 0.5000  6 Te 3.17-3.30



6.
VASP calculation (PBE) on Na4Tm3PuTe8 after structural relaxation.

## Properties
Its space group is No. 166. The calculation puts the formation energy without anion corrections at -1.219 eV/atom. The volume comes out at 31.9 A^3/atom. As for the crystal system: trigonal. The spin magnetization comes out at 0.31 μB per atom. Its energy is -0.357 Ry per atom.

a b c (Å): 8.8318 9.1093 8.8311
angles (deg): 119.02 120.00 90.00
Last column: nearest neighbours and their distance in Å.
Positions (direct):
Tm: 0.5000 0.5000 0.5000  6 Te 3.07-3.08
Na: 0.0000 0.0000 0.5000  6 Te 3.27-3.28
Na: 0.5000 0.0000 0.5000  6 Te 3.27-3.28
Te: 0.7529 0.2689 0.5059  2 Tm 3.07, 1 Pu 3.13, 3 Na 3.22-3.28
Te: 0.2471 0.7311 0.9842  2 Tm 3.07, 1 Pu 3.13, 3 Na 3.22-3.28
Na: 0.5000 0.0000 0.0000  6 Te 3.22
Pu: 0.0000 0.5000 0.0000  6 Te 3.13
Te: 0.7529 0.2689 0.0158  2 Tm 3.07, 1 Pu 3.13, 3 Na 3.22-3.28
Te: 0.2471 0.7311 0.4941  2 Tm 3.07, 1 Pu 3.13, 3 Na 3.22-3.28
Te: 0.7431 0.7289 0.4861  3 Tm 3.08, 3 Na 3.27
Tm: 0.5000 0.5000 0.0000  6 Te 3.07-3.08
Te: 0.2628 0.2689 0.0158  2 Tm 3.07, 1 Pu 3.13, 3 Na 3.22-3.28
Tm: 0.0000 0.5000 0.5000  6 Te 3.07-3.08
Na: 0.0000 0.0000 0.0000  6 Te 3.27-3.28
Te: 0.7372 0.7311 0.9842  2 Tm 3.07, 1 Pu 3.13, 3 Na 3.22-3.28
Te: 0.2569 0.2711 0.5139  3 Tm 3.08, 3 Na 3.27